The following is a DFT calculation (PBE) of a geometry-optimized KLa2CrP structure.

Energy of formation from the pure elements in eV per atom: 1.72
Magnetization in μB per formula unit: 0.19

Cell lengths 5.4886, 5.4886, 5.1204 Å; angles 90.00, 90.00, 90.00 degrees
With the nearest neighbours (Å) after each atom.
Atoms (fractional coordinates):
K (0.0000, 0.0000, 0.0000)  2 P 2.56, 4 La 2.74
La (0.0000, 0.5000, 0.0000)  2 K 2.74
La (0.5000, 0.0000, 0.0000)  2 K 2.74
Cr (0.5000, 0.5000, 0.5000)  8 La 3.75, 4 P 3.88
P (0.0000, 0.0000, 0.5000)  2 K 2.56

=====

The following is a DFT calculation (PBE) of a geometry-optimized KLa2CrS structure.

Magnetization in μB per formula unit: 1.69
Formation energy (no corrections) in eV/atom: -0.15

Cell lengths 5.7762, 5.7762, 4.6182 Å; angles 90.00, 90.00, 90.00 degrees
With the nearest neighbours (Å) after each atom.
Atoms (fractional coordinates):
K (0.0000, 0.0000, 0.0000)  8 La 3.70, 4 Cr 4.08
La (0.0000, 0.5000, 0.5000)  2 S 2.89
La (0.5000, 0.0000, 0.5000)  2 S 2.89
Cr (0.5000, 0.5000, 0.0000)  2 S 2.31
S (0.5000, 0.5000, 0.5000)  2 Cr 2.31

=====

Which of these has the lowest magnetization?
KLa2CrP

=====

What is the magnetization in the second record?
1.69 μB per formula unit